1.
VASP calculation (GGA-PBE) on crystalline ZrGaNO at its relaxed geometry.

- Energy above the lowest structure with this stoichiometry: 131.8 meV/atom

a b c (Å): 4.5384 4.5384 4.6607
angles (deg): 97.18 97.18 90.08
With the nearest neighbours (Å) after each atom.
Sites, in units of the cell vectors:
N1 0.7538 0.7538 0.3993  1 Ga 1.97
Ga1 0.7470 0.7470 0.9748  1 N 1.97, 2 O 2.06
Zr1 0.2630 0.7380 0.4994  4 N 2.30-2.33, 2 O 2.35-2.37
Zr2 0.7380 0.2630 0.4994  4 N 2.30-2.33, 2 O 2.35-2.37
Ga2 0.2500 0.2500 0.0252  1 N 1.98, 2 O 2.05
O1 0.7991 0.2011 0.0012  2 Ga 2.05-2.06
N2 0.2479 0.2479 0.5997  1 Ga 1.98
O2 0.2011 0.7991 0.0012  2 Ga 2.05-2.06

2.
VASP calculation (GGA-PBE) on crystalline PrNdBi4Pt2 at its relaxed geometry.

- Uncorrected energy: -5.3823 eV/atom

a b c (Å): 4.7025 4.7025 9.6715
angles (deg): 90.00 90.00 90.00
With the nearest neighbours (Å) after each atom.
Sites, in units of the cell vectors:
Nd1 0.0000 0.0000 0.2264  4 Pt 3.20, 8 Bi 3.37-3.53
Bi1 0.5000 0.0000 0.4984  4 Bi 3.33, 2 Nd 3.53, 2 Pr 3.54
Pr1 0.5000 0.5000 0.7722  4 Pt 3.23, 8 Bi 3.38-3.54
Pt1 0.5000 0.0000 0.0014  4 Bi 2.86-2.87, 2 Nd 3.20
Bi2 0.0000 0.5000 0.4984  4 Bi 3.33, 2 Nd 3.53, 2 Pr 3.54
Bi3 0.5000 0.5000 0.1700  4 Pt 2.86
Bi4 0.0000 0.0000 0.8320  4 Pt 2.87
Pt2 0.0000 0.5000 0.0014  4 Bi 2.86-2.87, 2 Nd 3.20

3.
VASP calculation (GGA-PBE) on crystalline ScCdCoB at its relaxed geometry.

- Energy above the lowest structure with this stoichiometry: 0.0 meV/atom

a b c (Å): 4.2951 4.2951 4.2951
angles (deg): 60.00 60.00 60.00
With the nearest neighbours (Å) after each atom.
Sites, in units of the cell vectors:
Cd1 0.5000 0.5000 0.5000  4 Sc 2.63, 4 Co 2.63
B1 0.0000 0.0000 0.0000  4 Co 2.63, 4 Sc 2.63
Sc1 0.2500 0.2500 0.2500  4 Cd 2.63, 4 B 2.63
Co1 0.7500 0.7500 0.7500  4 B 2.63, 4 Cd 2.63

4.
VASP calculation (GGA-PBE) on crystalline Dy5Co2Hg at its relaxed geometry.

- ΔE_f: -0.276 eV/atom

a b c (Å): 8.5247 8.5247 8.5247
angles (deg): 127.11 127.11 78.07
With the nearest neighbours (Å) after each atom.
Sites, in units of the cell vectors:
Dy1 0.5285 0.0285 0.8223  3 Co 2.80-2.86
Dy2 0.7063 0.5285 0.5000  3 Co 2.80-2.86
Dy3 0.7937 0.2937 0.8223  3 Co 2.80-2.86
Dy4 0.9715 0.7937 0.5000  3 Co 2.80-2.86
Co1 0.6353 0.8647 0.5000  8 Dy 2.80-2.95, 1 Co 2.91
Dy5 0.2063 0.7063 0.1777  3 Co 2.80-2.86
Co2 0.8647 0.3647 0.2294  8 Dy 2.80-2.95, 1 Co 2.91
Dy6 0.4715 0.9715 0.1777  3 Co 2.80-2.86
Hg1 0.7500 0.7500 0.0000  10 Dy 3.25-3.31
Co3 0.3647 0.1353 0.5000  8 Dy 2.80-2.95, 1 Co 2.91
Co4 0.1353 0.6353 0.7706  8 Dy 2.80-2.95, 1 Co 2.91
Dy7 0.0285 0.2063 0.5000  3 Co 2.80-2.86
Dy8 0.2937 0.4715 0.5000  3 Co 2.80-2.86
Dy9 0.5000 0.5000 0.0000  4 Co 2.95
Hg2 0.2500 0.2500 0.0000  10 Dy 3.25-3.31
Dy10 0.0000 0.0000 0.0000  4 Co 2.95

5.
VASP calculation (GGA-PBE) on crystalline NdMoPBr2 at its relaxed geometry.

- Uncorrected energy: -5.8714 eV/atom

a b c (Å): 3.9146 3.9146 9.7859
angles (deg): 90.00 90.00 120.00
With the nearest neighbours (Å) after each atom.
Sites, in units of the cell vectors:
Br1 0.0000 0.0000 0.6607  3 Nd 3.00
Br2 0.3333 0.6667 0.3079  3 Mo 2.84
P1 0.6667 0.3333 0.0371  3 Mo 2.44
Mo1 0.0000 0.0000 0.1321  3 P 2.44
Nd1 0.3333 0.6667 0.8622  3 P 2.83, 3 Br 3.00

6.
VASP calculation (GGA-PBE) on crystalline ScBiPtSe3 at its relaxed geometry.

- Uncorrected energy: -5.2824 eV/atom

a b c (Å): 7.7590 3.9302 9.4466
angles (deg): 90.00 105.01 90.00
With the nearest neighbours (Å) after each atom.
Sites, in units of the cell vectors:
Sc1 0.1659 0.7500 0.6740  6 Se 2.60-2.79
Se1 0.8428 0.2500 0.0527  2 Pt 2.59, 1 Sc 2.60
Pt1 0.3760 0.2500 0.9539  2 Se 2.59, 1 Bi 2.69, 2 Pt 2.73
Se2 0.1572 0.7500 0.9473  2 Pt 2.59, 1 Sc 2.60
Se3 0.0841 0.7500 0.3730  3 Sc 2.72-2.75
Bi1 0.3111 0.2500 0.2197  1 Pt 2.69, 2 Se 2.91
Se4 0.9159 0.2500 0.6270  3 Sc 2.72-2.75
Se5 0.4144 0.2500 0.6565  2 Sc 2.79, 1 Pt 2.90, 2 Bi 2.91
Sc2 0.8341 0.2500 0.3260  6 Se 2.60-2.79
Pt2 0.6240 0.7500 0.0461  2 Se 2.59, 1 Bi 2.69, 2 Pt 2.73
Bi2 0.6889 0.7500 0.7803  1 Pt 2.69, 2 Se 2.91
Se6 0.5856 0.7500 0.3435  2 Sc 2.79, 1 Pt 2.90, 2 Bi 2.91

Number 1: size of the total moment 0.000 μB per formula unit. Number 2: size of the total moment 0.007 μB per formula unit. Number 3: size of the total moment 0.025 μB per formula unit. Number 4: size of the total moment 0.005 μB per formula unit. Number 5: size of the total moment 1.776 μB per formula unit. Number 6: size of the total moment 0.005 μB per formula unit.